[1]
VASP calculation (SCAN) on Ni4Rh5 at its PBEsol-relaxed geometry.

a = 3.689 Å, b = 5.781 Å, c = 5.781 Å
α = 84.16°, β = 71.39°, γ = 71.39°
Site moments in Bohr magnetons follow the coordinates.
Element x y z (fractional)
1 Ni 0.338 0.662 0.662  0.96
2 Ni 0.662 0.338 0.338  0.96
3 Ni 0.000 0.338 0.662  0.96
4 Ni 0.000 0.662 0.338  0.96
5 Rh 0.668 0.663 0.000  0.79
6 Rh 0.000 0.000 0.000  0.74
7 Rh 0.332 0.000 0.337  0.79
8 Rh 0.668 0.000 0.663  0.79
9 Rh 0.332 0.337 0.000  0.79

Properties
- total magnetic moment (μB/atom) = 0.7992
- SG = I4/mmm (139)
- Fermi-level density of states (states/eV per atom) = 1.07
- energy of formation from the pure elements (eV/f.u.) = 0.41
- energy (eV/atom) = -25.905


[2]
VASP calculation (SCAN) on NiRuRh2 at its PBEsol-relaxed geometry.

a = 2.644 Å, b = 2.644 Å, c = 7.271 Å
α = 90.00°, β = 90.00°, γ = 90.00°
Element x y z (fractional)
1 Ni 0.500 0.500 0.747
2 Ru 0.000 0.000 0.510
3 Rh 0.000 0.000 0.989
4 Rh 0.500 0.500 0.254

Properties
- total magnetic moment (μB/atom) = 0.0001
- polymorph energy (0 for the lowest one) (eV per atom) = 0.043
- SG = P4mm (99)
- Fermi-level density of states (states/eV per atom) = 1.28
- energy of formation from the pure elements (eV/f.u.) = 0.34
- energy (eV/atom) = -29.551


[3]
VASP calculation (SCAN) on NiRuRh2 at its PBEsol-relaxed geometry.

a = 2.649 Å, b = 3.680 Å, c = 5.225 Å
α = 90.00°, β = 90.00°, γ = 90.00°
Element x y z (fractional)
1 Ni 0.500 0.500 0.500
2 Rh 0.000 0.000 0.746
3 Rh 0.000 0.000 0.254
4 Ru 0.500 0.500 0.000

Properties
- total magnetic moment (μB/atom) = 0.0005
- polymorph energy (0 for the lowest one) (eV per atom) = 0.007
- SG = Pmmm (47)
- Fermi-level density of states (states/eV per atom) = 1.09
- energy of formation from the pure elements (eV/f.u.) = 0.20
- energy (eV/atom) = -29.586


[4]
VASP calculation (SCAN) on Ni2RuRh at its PBEsol-relaxed geometry.

a = 3.582 Å, b = 3.582 Å, c = 4.493 Å
α = 113.49°, β = 113.49°, γ = 90.00°
Element x y z (fractional)
1 Rh 0.000 0.000 0.000
2 Ru 0.250 0.750 0.500
3 Ni 0.500 0.500 0.000
4 Ni 0.750 0.250 0.500

Properties
- total magnetic moment (μB/atom) = 0.0000
- polymorph energy (0 for the lowest one) (eV per atom) = 0.000
- SG = I-4m2 (119)
- Fermi-level density of states (states/eV per atom) = 0.93
- energy of formation from the pure elements (eV/f.u.) = 0.29
- energy (eV/atom) = -25.163


[5]
VASP calculation (SCAN) on NiRuRh2 at its PBEsol-relaxed geometry.

a = 2.632 Å, b = 4.522 Å, c = 4.546 Å
α = 99.64°, β = 106.83°, γ = 90.00°
Element x y z (fractional)
1 Rh 0.251 0.252 0.502
2 Rh 0.749 0.748 0.498
3 Ru 0.500 0.000 0.000
4 Ni 0.000 0.500 0.000

Properties
- total magnetic moment (μB/atom) = 0.0007
- polymorph energy (0 for the lowest one) (eV per atom) = 0.031
- SG = C2/m (12)
- Fermi-level density of states (states/eV per atom) = 1.11
- energy of formation from the pure elements (eV/f.u.) = 0.29
- energy (eV/atom) = -29.562


[6]
VASP calculation (SCAN) on NiRuRh2 at its PBEsol-relaxed geometry.

a = 3.689 Å, b = 3.689 Å, c = 4.561 Å
α = 113.85°, β = 113.85°, γ = 90.00°
Element x y z (fractional)
1 Rh 0.750 0.250 0.500
2 Rh 0.250 0.750 0.500
3 Ru 0.500 0.500 0.000
4 Ni 0.000 0.000 0.000

Properties
- total magnetic moment (μB/atom) = 0.0003
- polymorph energy (0 for the lowest one) (eV per atom) = 0.020
- SG = I4/mmm (139)
- Fermi-level density of states (states/eV per atom) = 1.22
- energy of formation from the pure elements (eV/f.u.) = 0.25
- energy (eV/atom) = -29.574


[7]
VASP calculation (SCAN) on NiRuRh2 at its PBEsol-relaxed geometry.

a = 3.680 Å, b = 3.680 Å, c = 4.576 Å
α = 113.70°, β = 113.70°, γ = 90.00°
Element x y z (fractional)
1 Ni 0.250 0.750 0.500
2 Ru 0.500 0.500 0.000
3 Rh 0.000 0.000 0.000
4 Rh 0.750 0.250 0.500

Properties
- total magnetic moment (μB/atom) = 0.0012
- polymorph energy (0 for the lowest one) (eV per atom) = 0.058
- SG = I-4m2 (119)
- Fermi-level density of states (states/eV per atom) = 1.39
- energy of formation from the pure elements (eV/f.u.) = 0.40
- energy (eV/atom) = -29.535


[8]
VASP calculation (SCAN) on NiRuRh at its PBEsol-relaxed geometry.

a = 2.634 Å, b = 2.634 Å, c = 5.708 Å
α = 103.34°, β = 103.34°, γ = 90.00°
Site moments in Bohr magnetons follow the coordinates.
Element x y z (fractional)
1 Ru 0.337 0.337 0.673  0.14
2 Ni 0.997 0.997 0.994  0.47
3 Rh 0.666 0.666 0.332  0.05

Properties
- total magnetic moment (μB/atom) = 0.2104
- polymorph energy (0 for the lowest one) (eV per atom) = 0.043
- SG = I4mm (107)
- Fermi-level density of states (states/eV per atom) = 1.08
- energy of formation from the pure elements (eV/f.u.) = 0.31
- energy (eV/atom) = -28.154


[9]
VASP calculation (SCAN) on NiRuRh2 at its PBEsol-relaxed geometry.

a = 2.642 Å, b = 3.688 Å, c = 5.234 Å
α = 90.00°, β = 90.00°, γ = 90.00°
Element x y z (fractional)
1 Ru 0.500 0.000 0.506
2 Rh 0.000 0.500 0.258
3 Rh 0.500 0.000 0.989
4 Ni 0.000 0.500 0.747

Properties
- total magnetic moment (μB/atom) = 0.0008
- polymorph energy (0 for the lowest one) (eV per atom) = 0.043
- SG = Pmm2 (25)
- Fermi-level density of states (states/eV per atom) = 1.27
- energy of formation from the pure elements (eV/f.u.) = 0.34
- energy (eV/atom) = -29.550


[10]
VASP calculation (SCAN) on Ni2RuRh at its PBEsol-relaxed geometry.

a = 2.601 Å, b = 4.374 Å, c = 4.464 Å
α = 100.03°, β = 106.94°, γ = 90.00°
Element x y z (fractional)
1 Rh 0.500 0.496 0.001
2 Ni 0.999 0.993 0.997
3 Ni 0.253 0.761 0.505
4 Ru 0.748 0.250 0.497

Properties
- total magnetic moment (μB/atom) = 0.0001
- polymorph energy (0 for the lowest one) (eV per atom) = 0.024
- SG = Cm (8)
- Fermi-level density of states (states/eV per atom) = 1.03
- energy of formation from the pure elements (eV/f.u.) = 0.39
- energy (eV/atom) = -25.139


[11]
VASP calculation (SCAN) on NiRuRh2 at its PBEsol-relaxed geometry.

a = 2.650 Å, b = 2.650 Å, c = 7.262 Å
α = 90.00°, β = 90.00°, γ = 90.00°
Site moments in Bohr magnetons follow the coordinates.
Element x y z (fractional)
1 Rh 0.000 0.000 0.744  0.23
2 Rh 0.000 0.000 0.256  0.23
3 Ru 0.500 0.500 0.000  -0.06
4 Ni 0.500 0.500 0.500  0.88

Properties
- total magnetic moment (μB/atom) = 0.3034
- polymorph energy (0 for the lowest one) (eV per atom) = 0.000
- SG = P4/mmm (123)
- Fermi-level density of states (states/eV per atom) = 1.02
- energy of formation from the pure elements (eV/f.u.) = 0.17
- energy (eV/atom) = -29.593


[12]
VASP calculation (SCAN) on NiRuRh at its PBEsol-relaxed geometry.

a = 2.642 Å, b = 3.642 Å, c = 4.482 Å
α = 113.97°, β = 107.14°, γ = 90.00°
Element x y z (fractional)
1 Rh 0.666 0.666 0.333
2 Ni 0.998 0.998 0.995
3 Ru 0.336 0.336 0.672

Properties
- total magnetic moment (μB/atom) = 0.0006
- polymorph energy (0 for the lowest one) (eV per atom) = 0.000
- SG = Imm2 (44)
- Fermi-level density of states (states/eV per atom) = 0.93
- energy of formation from the pure elements (eV/f.u.) = 0.18
- energy (eV/atom) = -28.197


[13]
VASP calculation (SCAN) on Ni2RuRh at its PBEsol-relaxed geometry.

a = 2.613 Å, b = 3.624 Å, c = 5.058 Å
α = 90.00°, β = 89.99°, γ = 90.00°
Element x y z (fractional)
1 Ni 0.000 0.000 0.005
2 Ni 0.500 0.500 0.240
3 Ru 0.500 0.500 0.754
4 Rh 0.000 0.000 0.501

Properties
- total magnetic moment (μB/atom) = 0.0033
- polymorph energy (0 for the lowest one) (eV per atom) = 0.030
- SG = Pmm2 (25)
- Fermi-level density of states (states/eV per atom) = 1.22
- energy of formation from the pure elements (eV/f.u.) = 0.41
- energy (eV/atom) = -25.133


[14]
VASP calculation (SCAN) on Ni2RuRh at its PBEsol-relaxed geometry.

a = 2.612 Å, b = 2.612 Å, c = 7.014 Å
α = 90.00°, β = 90.00°, γ = 90.00°
Site moments in Bohr magnetons follow the coordinates.
Element x y z (fractional)
1 Ru 0.500 0.500 0.760  0.11
2 Ni 0.000 0.000 0.007  0.69
3 Ni 0.500 0.500 0.239  0.81
4 Rh 0.000 0.000 0.494  0.19

Properties
- total magnetic moment (μB/atom) = 0.4200
- polymorph energy (0 for the lowest one) (eV per atom) = 0.029
- SG = P4mm (99)
- Fermi-level density of states (states/eV per atom) = 1.17
- energy of formation from the pure elements (eV/f.u.) = 0.41
- energy (eV/atom) = -25.134